[1]
A plane-wave DFT calculation with PBE-GGA was carried out for crystalline AgMo4 at its relaxed geometry.

Unit cell a=4.713 b=4.713 c=4.713 alpha=90.00 beta=90.00 gamma=90.00
Positions (direct):
1 Mo 0.500 0.000 0.500
2 Mo 0.000 0.000 0.000
3 Mo 0.000 0.500 0.500
4 Mo 0.500 0.500 0.000
5 Ag 0.500 0.500 0.500

Properties
- Energy above the most stable polymorph in this dataset: 2.2484 eV/atom
- Calculated formation energy: 2.6984 eV/atom
- Density of states at the Fermi level: 9.97 states/eV/cell

[2]
A plane-wave DFT calculation with PBE-GGA was carried out for crystalline Tm5TlRu2Pb2 at its relaxed geometry.

Unit cell a=3.636 b=11.792 c=11.792 alpha=90.00 beta=90.00 gamma=90.00
Positions (direct):
1 Tm 0.500 0.573 0.710
2 Tm 0.500 0.500 0.000
3 Tm 0.500 0.927 0.210
4 Tm 0.500 0.427 0.290
5 Tm 0.500 0.790 0.927
6 Tm 0.500 0.290 0.573
7 Tm 0.500 0.000 0.500
8 Tm 0.500 0.710 0.427
9 Tm 0.500 0.210 0.073
10 Tm 0.500 0.073 0.790
11 Tl 0.000 0.500 0.500
12 Tl 0.000 0.000 0.000
13 Pb 0.000 0.176 0.324
14 Pb 0.000 0.824 0.676
15 Pb 0.000 0.676 0.176
16 Pb 0.000 0.324 0.824
17 Ru 0.000 0.630 0.870
18 Ru 0.000 0.870 0.370
19 Ru 0.000 0.130 0.630
20 Ru 0.000 0.370 0.130

Properties
- Calculated formation energy: -0.3492 eV/atom
- Density of states at the Fermi level: 7.97 states/eV/cell

[3]
A plane-wave DFT calculation with PBE-GGA was carried out for crystalline Pm8Ho6Pu at its relaxed geometry.

Unit cell a=5.863 b=9.879 c=9.879 alpha=120.00 beta=90.00 gamma=90.00
Positions (direct):
1 Ho 0.748 0.906 0.524
2 Ho 0.252 0.382 0.906
3 Ho 0.252 0.524 0.618
4 Ho 0.748 0.476 0.382
5 Ho 0.748 0.618 0.094
6 Ho 0.252 0.094 0.476
7 Pm 0.240 0.266 0.215
8 Pm 0.235 0.667 0.333
9 Pm 0.760 0.051 0.266
10 Pm 0.240 0.949 0.734
11 Pm 0.240 0.785 0.051
12 Pm 0.760 0.734 0.785
13 Pm 0.765 0.333 0.667
14 Pm 0.760 0.215 0.949
15 Pu 0.500 0.000 0.000

Properties
- Calculated formation energy: 0.1313 eV/atom
- Density of states at the Fermi level: 21.26 states/eV/cell

[4]
A plane-wave DFT calculation with PBE-GGA was carried out for crystalline HgPbBr2 at its relaxed geometry.

Unit cell a=6.238 b=6.238 c=6.238 alpha=135.63 beta=135.63 gamma=64.55
Positions (direct):
1 Br 0.000 0.000 0.000
2 Br 0.250 0.750 0.500
3 Hg 0.500 0.500 0.000
4 Pb 0.750 0.250 0.500

Properties
- Energy above the most stable polymorph in this dataset: 0.2764 eV/atom
- E_form (uncorrected): -378 meV per atom